Entry 1:
Crystalline HI at its relaxed geometry, computed with PBE-GGA.

N(E_F): 0.000 states/eV per cell
final energy: -38.67 eV/cell
crystal system: tetragonal

Cell: 11.0421 11.0421 4.7191 Å, 90.00 90.00 90.00°
Last column: nearest neighbours and their distance in Å.
Space group P4/m (No. 83)
Asymmetric unit:
H 0.0516 0.6366 0.0000 x4  1 I 1.64
H 0.2291 0.7366 0.5000 x4  1 I 1.64
I 0.0392 0.2461 0.0000 x4  1 H 1.64
I 0.2740 0.5951 0.5000 x4  1 H 1.64



Entry 2:
Crystalline Rb2NbMoPt at its relaxed geometry, computed with PBE-GGA.

N(E_F): 4.155 states/eV per cell
E_form: 1.773 eV per atom
crystal system: tetragonal
distance to the lowest polymorph of the same formula: 0.000 eV per atom

Cell: 6.5039 6.5039 4.8794 Å, 90.00 90.00 90.00°
Last column: nearest neighbours and their distance in Å.
Space group P4/mmm (No. 123)
Asymmetric unit:
Rb 0.0000 0.5000 0.0000 x2  2 Pt 3.25
Nb 0.0000 0.0000 0.5000 x1  8 Rb 4.07
Mo 0.5000 0.5000 0.5000 x1  2 Pt 2.44
Pt 0.5000 0.5000 0.0000 x1  2 Mo 2.44



Entry 3:
Crystalline Tl2AgBi at its relaxed geometry, computed with PBE-GGA.

N(E_F): 3.415 states/eV per cell
E_form: 0.109 eV per atom
crystal system: cubic
distance to the lowest polymorph of the same formula: 0.048 eV per atom

Cell: 7.6618 7.6618 7.6618 Å, 90.00 90.00 90.00°
Last column: nearest neighbours and their distance in Å.
Space group Fm-3m (No. 225)
Asymmetric unit:
Tl 0.2500 0.2500 0.2500 x8  4 Bi 3.32, 4 Ag 3.32
Ag 0.0000 0.0000 0.0000 x4  8 Tl 3.32
Bi 0.0000 0.0000 0.5000 x4  8 Tl 3.32



Entry 4:
Crystalline KBH2 at its relaxed geometry, computed with PBE-GGA.

N(E_F): 1.584 states/eV per cell
crystal system: cubic
distance to the lowest polymorph of the same formula: 0.792 eV per atom

Cell: 5.9486 5.9486 5.9486 Å, 90.00 90.00 90.00°
Last column: nearest neighbours and their distance in Å.
Space group Fm-3m (No. 225)
Asymmetric unit:
K 0.0000 0.0000 0.0000 x4  8 H 2.58
B 0.0000 0.0000 0.5000 x4  8 H 2.58
H 0.2500 0.2500 0.2500 x8  4 K 2.58, 4 B 2.58



Entry 5:
Crystalline LiLaHg at its relaxed geometry, computed with PBE-GGA.

N(E_F): 2.082 states/eV per cell
E_form: -0.341 eV per atom
crystal system: trigonal
distance to the lowest polymorph of the same formula: 0.014 eV per atom

Cell: 4.9901 4.9901 3.5364 Å, 90.00 90.00 120.00°
Last column: nearest neighbours and their distance in Å.
Space group P3m1 (No. 156)
Asymmetric unit:
Li 0.0000 0.0000 0.0000 x1  3 Hg 2.88
La 0.3333 0.6667 0.4992 x1  6 Li 3.38, 6 Hg 3.38, 2 La 3.54
Hg 0.6667 0.3333 0.9986 x1  3 Li 2.88



Entry 6:
Crystalline NaTmInAg at its relaxed geometry, computed with PBE-GGA.

N(E_F): 8.773 states/eV per cell
E_form: -0.149 eV per atom
crystal system: cubic

Cell: 7.2521 7.2521 7.2521 Å, 90.00 90.00 90.00°
Last column: nearest neighbours and their distance in Å.
Space group F-43m (No. 216)
Asymmetric unit:
Na 0.0000 0.0000 0.0000 x4  4 In 3.14, 4 Ag 3.14
Tm 0.0000 0.0000 0.5000 x4  4 Ag 3.14, 4 In 3.14
In 0.2500 0.2500 0.2500 x4  4 Na 3.14, 4 Tm 3.14
Ag 0.2500 0.2500 0.7500 x4  4 Na 3.14, 4 Tm 3.14



Entry 7:
Crystalline Tb2LuPa at its relaxed geometry, computed with PBE-GGA.

N(E_F): 16.782 states/eV per cell
E_form: 0.272 eV per atom
crystal system: trigonal
distance to the lowest polymorph of the same formula: 0.137 eV per atom

Cell: 3.3202 3.3202 36.4353 Å, 90.00 90.00 120.00°
Last column: nearest neighbours and their distance in Å.
Space group R-3m (No. 166, hexagonal axes)
Asymmetric unit:
Tb 0.0000 0.0000 0.0879 x6  1 Pa 3.20, 6 Tb 3.32, 3 Lu 3.45
Lu 0.0000 0.0000 0.5000 x3  6 Lu 3.32, 6 Tb 3.45
Pa 0.0000 0.0000 0.0000 x3  2 Tb 3.20, 6 Pa 3.32



Entry 8:
Crystalline GaSi2SN at its relaxed geometry, computed with PBE-GGA.

N(E_F): 2.569 states/eV per cell
formation energy from raw total energies: 95.2 kJ/mol of atoms
crystal system: tetragonal

Cell: 4.7695 4.7695 3.3944 Å, 90.00 90.00 90.00°
Last column: nearest neighbours and their distance in Å.
Space group P4/mmm (No. 123)
Asymmetric unit:
Ga 0.0000 0.0000 0.0000 x1  8 Si 2.93
Si 0.0000 0.5000 0.5000 x2  2 S 2.38
S 0.5000 0.5000 0.5000 x1  2 N 1.70
N 0.5000 0.5000 0.0000 x1  2 S 1.70